A plane-wave DFT calculation with GGA-PBE was carried out for a geometry-optimized HfTlHg3Se4 structure.

Calculated total energy: -30.1 eV for the cell shown

Cell and atoms, written as CIF:
```
data_HfTlHg3Se4
_cell_length_a 6.916
_cell_length_b 6.916
_cell_length_c 6.916
_cell_angle_alpha 90.00
_cell_angle_beta 90.00
_cell_angle_gamma 90.00
_symmetry_space_group_name_H-M 'P -4 3 m'
_symmetry_Int_Tables_number 215
_symmetry_space_group_name_Hall 'P -4 2 3'
loop_
_atom_site_label
_atom_site_fract_x
_atom_site_fract_y
_atom_site_fract_z
_atom_site_occupancy
Hf1 0.000 0.000 0.000 1
Tl1 0.500 0.500 0.500 1
Hg1 0.000 0.000 0.500 1
Se1 0.213 0.213 0.787 1
```